(1)
11
Lattice="-3.8429 -3.8759 1.4431 1.3567 -4.0089 -7.1545 6.9612 -0.4146 6.3805" Properties=species:S:1:pos:R:3 comment="LaSm8Dy2 (PBE, optimized geometry)" dft_energy_ev_per_cell=-50.65 pbc="T T T"
Dy 1.5124 -4.5547 2.8376
Dy 2.9626 -3.7448 -2.1685
Sm 1.8652 -1.4215 1.1492
Sm 4.3977 -3.9580 1.0803
Sm 2.6098 -6.8780 -0.4801
Sm 3.8431 -2.3211 4.0002
Sm 0.0773 -4.3414 -0.4112
Sm 0.9561 -2.8246 -5.0404
Sm 0.6319 -5.9784 -3.3311
Sm 3.5189 -5.4749 5.7095
La -1.9215 -1.9380 0.7215


(2)
4
Lattice="-4.5139 -2.4673 0.8233 -0.1161 -5.2021 0.2568 -0.8829 -2.3640 4.5577" Properties=species:S:1:pos:R:3 comment="GdLuTlGe (PBE, optimized geometry)" dft_energy_ev_per_cell=-27.23 pbc="T T T"
Lu 0.0000 0.0000 0.0000
Tl -1.3782 -2.5084 1.4094
Ge -4.1347 -7.5251 4.2283
Gd -2.7564 -5.0167 2.8189